--- a ---
VASP calculation (PBE) on a relaxed InGaAs2Br crystal. Values from VASP.

Quantum ESPRESSO input file:
```
&SYSTEM
  ibrav = 0, nat = 5, ntyp = 4
/
ATOMIC_SPECIES
As 74.92 As.upf
Ga 69.72 Ga.upf
Br 79.90 Br.upf
In 114.82 In.upf
ATOMIC_POSITIONS angstrom
As 0.000 2.623 0.000
As 2.623 0.000 0.000
Ga 2.623 2.623 2.899
Br 0.000 0.000 2.899
In 0.000 0.000 0.000
CELL_PARAMETERS angstrom
5.247 0.000 0.000
0.000 5.247 0.000
0.000 0.000 5.797
```

Summary:
Volume = 31.92 Å³/atom
Theoretical density = 4.31 g/cm³
Space-group type = P4/mmm, No. 123

---

--- b ---
VASP calculation (PBE) on a relaxed InGaAs2Br crystal. Values from VASP.

Quantum ESPRESSO input file:
```
&SYSTEM
  ibrav = 0, nat = 5, ntyp = 4
/
ATOMIC_SPECIES
As 74.92 As.upf
Ga 69.72 Ga.upf
Br 79.90 Br.upf
In 114.82 In.upf
ATOMIC_POSITIONS angstrom
As 0.000 2.479 0.000
As 2.479 0.000 0.000
Ga 0.000 0.000 0.000
Br 0.000 0.000 2.792
In 2.479 2.479 2.792
CELL_PARAMETERS angstrom
4.958 0.000 0.000
0.000 4.958 0.000
0.000 0.000 5.584
```

Summary:
Volume = 27.45 Å³/atom
Theoretical density = 5.01 g/cm³
Space-group type = P4/mmm, No. 123

---

Of them, b has the highest stability.

---

--- a ---
VASP calculation (PBE) on a relaxed LaGaAsBr2 crystal. Values from VASP.

Quantum ESPRESSO input file:
```
&SYSTEM
  ibrav = 0, nat = 5, ntyp = 4
/
ATOMIC_SPECIES
As 74.92 As.upf
Ga 69.72 Ga.upf
Br 79.90 Br.upf
La 138.91 La.upf
ATOMIC_POSITIONS angstrom
As 0.000 0.000 2.571
Ga 0.000 0.000 0.000
Br 0.000 2.595 0.000
Br 2.595 0.000 0.000
La 2.595 2.595 2.571
CELL_PARAMETERS angstrom
5.189 0.000 0.000
0.000 5.189 0.000
0.000 0.000 5.141
```

Summary:
Volume = 27.69 Å³/atom
Theoretical density = 5.32 g/cm³
Space-group type = P4/mmm, No. 123

---

--- b ---
VASP calculation (PBE) on a relaxed LaGaAsBr2 crystal. Values from VASP.

Quantum ESPRESSO input file:
```
&SYSTEM
  ibrav = 0, nat = 5, ntyp = 4
/
ATOMIC_SPECIES
As 74.92 As.upf
Ga 69.72 Ga.upf
Br 79.90 Br.upf
La 138.91 La.upf
ATOMIC_POSITIONS angstrom
As 2.121 0.534 1.943
Ga 3.459 -3.349 1.550
Br 1.922 -1.355 -1.726
Br -0.585 -2.528 1.333
La 0.000 0.000 0.000
CELL_PARAMETERS angstrom
-1.169 -5.057 2.666
3.845 -2.709 -3.453
4.243 1.068 3.886
```

Summary:
Volume = 39.85 Å³/atom
Theoretical density = 3.70 g/cm³
Space-group type = P4/mmm, No. 123

---

Of them, b has the highest stability.

---

--- a ---
VASP calculation (PBE) on a relaxed MnGaAs2Br crystal. Values from VASP.

Quantum ESPRESSO input file:
```
&SYSTEM
  ibrav = 0, nat = 5, ntyp = 4
/
ATOMIC_SPECIES
As 74.92 As.upf
Mn 54.94 Mn.upf
Ga 69.72 Ga.upf
Br 79.90 Br.upf
ATOMIC_POSITIONS angstrom
As -0.881 0.597 2.038
As -0.432 2.110 -0.805
Mn 0.000 0.000 0.000
Ga 1.442 3.623 2.156
Br 2.755 0.915 0.923
CELL_PARAMETERS angstrom
-0.863 4.221 -1.610
-1.762 1.194 4.077
5.510 1.831 1.845
```

Summary:
Volume = 25.77 Å³/atom
Theoretical density = 4.57 g/cm³
Space-group type = P4/mmm, No. 123

---

--- b ---
VASP calculation (PBE) on a relaxed MnGaAs2Br crystal. Values from VASP.

Quantum ESPRESSO input file:
```
&SYSTEM
  ibrav = 0, nat = 5, ntyp = 4
/
ATOMIC_SPECIES
As 74.92 As.upf
Mn 54.94 Mn.upf
Ga 69.72 Ga.upf
Br 79.90 Br.upf
ATOMIC_POSITIONS angstrom
As 0.081 -2.449 0.181
As -1.938 0.047 1.510
Mn -0.241 -2.196 3.758
Ga 0.000 0.000 0.000
Br 1.616 0.206 2.068
CELL_PARAMETERS angstrom
-3.876 0.094 3.020
0.163 -4.899 0.362
3.231 0.413 4.135
```

Summary:
Volume = 25.43 Å³/atom
Theoretical density = 4.63 g/cm³
Space-group type = P4/mmm, No. 123

---

Of them, a has the highest stability.

---

--- a ---
VASP calculation (PBE) on a relaxed GaMoAsBr2 crystal. Values from VASP.

Quantum ESPRESSO input file:
```
&SYSTEM
  ibrav = 0, nat = 5, ntyp = 4
/
ATOMIC_SPECIES
Mo 95.94 Mo.upf
Ga 69.72 Ga.upf
As 74.92 As.upf
Br 79.90 Br.upf
ATOMIC_POSITIONS angstrom
Mo 0.000 0.000 0.000
Ga 2.692 2.692 2.436
As 0.000 0.000 2.436
Br 0.000 2.692 0.000
Br 2.692 0.000 0.000
CELL_PARAMETERS angstrom
5.384 0.000 0.000
0.000 5.384 0.000
0.000 0.000 4.872
```

Summary:
Volume = 28.24 Å³/atom
Theoretical density = 4.71 g/cm³
Space-group type = P4/mmm, No. 123

---

--- b ---
VASP calculation (PBE) on a relaxed GaMoAsBr2 crystal. Values from VASP.

Quantum ESPRESSO input file:
```
&SYSTEM
  ibrav = 0, nat = 5, ntyp = 4
/
ATOMIC_SPECIES
Mo 95.94 Mo.upf
Ga 69.72 Ga.upf
As 74.92 As.upf
Br 79.90 Br.upf
ATOMIC_POSITIONS angstrom
Mo 2.566 2.566 2.552
Ga 0.000 0.000 0.000
As 0.000 0.000 2.552
Br 0.000 2.566 0.000
Br 2.566 0.000 0.000
CELL_PARAMETERS angstrom
5.131 0.000 0.000
0.000 5.131 0.000
0.000 0.000 5.103
```

Summary:
Volume = 26.88 Å³/atom
Theoretical density = 4.95 g/cm³
Space-group type = P4/mmm, No. 123

---

Of them, a has the highest stability.

---

--- a ---
VASP calculation (PBE) on a relaxed GaMoAs2Br crystal. Values from VASP.

Quantum ESPRESSO input file:
```
&SYSTEM
  ibrav = 0, nat = 5, ntyp = 4
/
ATOMIC_SPECIES
Mo 95.94 Mo.upf
Ga 69.72 Ga.upf
As 74.92 As.upf
Br 79.90 Br.upf
ATOMIC_POSITIONS angstrom
Mo 0.000 0.000 0.000
Ga 2.418 2.418 2.804
As 0.000 2.418 0.000
As 2.418 0.000 0.000
Br 0.000 0.000 2.804
CELL_PARAMETERS angstrom
4.837 0.000 0.000
0.000 4.837 0.000
0.000 0.000 5.608
```

Summary:
Volume = 26.24 Å³/atom
Theoretical density = 5.01 g/cm³
Space-group type = P4/mmm, No. 123

---

--- b ---
VASP calculation (PBE) on a relaxed GaMoAs2Br crystal. Values from VASP.

Quantum ESPRESSO input file:
```
&SYSTEM
  ibrav = 0, nat = 5, ntyp = 4
/
ATOMIC_SPECIES
Mo 95.94 Mo.upf
Ga 69.72 Ga.upf
As 74.92 As.upf
Br 79.90 Br.upf
ATOMIC_POSITIONS angstrom
Mo 2.442 2.442 2.569
Ga 0.000 0.000 0.000
As 0.000 2.442 0.000
As 2.442 0.000 0.000
Br 0.000 0.000 2.569
CELL_PARAMETERS angstrom
4.885 0.000 0.000
0.000 4.885 0.000
0.000 0.000 5.138
```

Summary:
Volume = 24.52 Å³/atom
Theoretical density = 5.36 g/cm³
Space-group type = P4/mmm, No. 123

---

Of them, a has the highest stability.

---

--- a ---
VASP calculation (PBE) on a relaxed NbGaAsBr2 crystal. Values from VASP.

Quantum ESPRESSO input file:
```
&SYSTEM
  ibrav = 0, nat = 5, ntyp = 4
/
ATOMIC_SPECIES
Nb 92.91 Nb.upf
Ga 69.72 Ga.upf
As 74.92 As.upf
Br 79.90 Br.upf
ATOMIC_POSITIONS angstrom
Nb -1.746 -1.723 -3.622
Ga 0.000 0.000 0.000
As -2.421 -0.655 -0.279
Br 0.712 -2.174 -1.071
Br -0.037 1.107 -2.271
CELL_PARAMETERS angstrom
-0.075 2.213 -4.542
1.424 -4.349 -2.143
-4.841 -1.310 -0.559
```

Summary:
Volume = 25.77 Å³/atom
Theoretical density = 5.12 g/cm³
Space-group type = P4/mmm, No. 123

---

--- b ---
VASP calculation (PBE) on a relaxed NbGaAsBr2 crystal. Values from VASP.

Quantum ESPRESSO input file:
```
&SYSTEM
  ibrav = 0, nat = 5, ntyp = 4
/
ATOMIC_SPECIES
Nb 92.91 Nb.upf
Ga 69.72 Ga.upf
As 74.92 As.upf
Br 79.90 Br.upf
ATOMIC_POSITIONS angstrom
Nb 0.000 0.000 0.000
Ga -4.261 0.241 1.459
As -0.660 0.792 2.302
Br -1.682 -2.029 0.216
Br -1.920 1.478 -1.059
CELL_PARAMETERS angstrom
-3.840 2.957 -2.118
-3.364 -4.058 0.432
-1.320 1.584 4.603
```

Summary:
Volume = 28.22 Å³/atom
Theoretical density = 4.68 g/cm³
Space-group type = P4/mmm, No. 123

---

Of them, b has the highest stability.

---

--- a ---
VASP calculation (PBE) on a relaxed GaAs2BrO crystal. Values from VASP.

Quantum ESPRESSO input file:
```
&SYSTEM
  ibrav = 0, nat = 5, ntyp = 4
/
ATOMIC_SPECIES
O 16.00 O.upf
As 74.92 As.upf
Ga 69.72 Ga.upf
Br 79.90 Br.upf
ATOMIC_POSITIONS angstrom
O 0.000 0.000 0.000
As -1.721 -1.124 -0.360
As -1.122 1.359 1.119
Ga -2.248 -1.570 3.547
Br 0.595 -1.805 2.789
CELL_PARAMETERS angstrom
-2.244 2.718 2.237
-3.443 -2.248 -0.721
1.189 -3.609 5.578
```

Summary:
Volume = 23.53 Å³/atom
Theoretical density = 4.45 g/cm³
Space-group type = P4/mmm, No. 123

---

--- b ---
VASP calculation (PBE) on a relaxed GaAs2BrO crystal. Values from VASP.

Quantum ESPRESSO input file:
```
&SYSTEM
  ibrav = 0, nat = 5, ntyp = 4
/
ATOMIC_SPECIES
O 16.00 O.upf
As 74.92 As.upf
Ga 69.72 Ga.upf
Br 79.90 Br.upf
ATOMIC_POSITIONS angstrom
O 2.506 2.506 2.539
As 0.000 2.506 0.000
As 2.506 0.000 0.000
Ga 0.000 0.000 0.000
Br 0.000 0.000 2.539
CELL_PARAMETERS angstrom
5.013 0.000 0.000
0.000 5.013 0.000
0.000 0.000 5.077
```

Summary:
Volume = 25.52 Å³/atom
Theoretical density = 4.11 g/cm³
Space-group type = P4/mmm, No. 123

---

Of them, a has the highest stability.

---

--- a ---
VASP calculation (PBE) on a relaxed GaAsBr2O crystal. Values from VASP.

Quantum ESPRESSO input file:
```
&SYSTEM
  ibrav = 0, nat = 5, ntyp = 4
/
ATOMIC_SPECIES
O 16.00 O.upf
As 74.92 As.upf
Ga 69.72 Ga.upf
Br 79.90 Br.upf
ATOMIC_POSITIONS angstrom
O 0.000 0.000 0.000
As -1.625 0.428 0.743
Ga -3.631 -1.261 -2.669
Br -1.058 -2.759 -0.727
Br -0.947 1.071 -2.686
CELL_PARAMETERS angstrom
-1.894 2.141 -5.373
-2.116 -5.518 -1.453
-3.251 0.855 1.487
```

Summary:
Volume = 27.23 Å³/atom
Theoretical density = 3.91 g/cm³
Space-group type = P4/mmm, No. 123

---

--- b ---
VASP calculation (PBE) on a relaxed GaAsBr2O crystal. Values from VASP.

Quantum ESPRESSO input file:
```
&SYSTEM
  ibrav = 0, nat = 5, ntyp = 4
/
ATOMIC_SPECIES
O 16.00 O.upf
As 74.92 As.upf
Ga 69.72 Ga.upf
Br 79.90 Br.upf
ATOMIC_POSITIONS angstrom
O -2.471 -2.920 -2.306
As 0.144 -2.599 0.184
Ga 0.000 0.000 0.000
Br -0.056 -0.184 -2.556
Br -2.559 -0.137 0.066
CELL_PARAMETERS angstrom
-5.117 -0.273 0.131
-0.111 -0.368 -5.112
0.287 -5.197 0.368
```

Summary:
Volume = 27.43 Å³/atom
Theoretical density = 3.88 g/cm³
Space-group type = P4/mmm, No. 123

---

Of them, a has the highest stability.

---

--- a ---
VASP calculation (PBE) on a relaxed GaAs2OsBr crystal. Values from VASP.

Quantum ESPRESSO input file:
```
&SYSTEM
  ibrav = 0, nat = 5, ntyp = 4
/
ATOMIC_SPECIES
As 74.92 As.upf
Os 190.23 Os.upf
Ga 69.72 Ga.upf
Br 79.90 Br.upf
ATOMIC_POSITIONS angstrom
As -2.113 -1.052 0.047
As -0.755 1.440 -1.711
Os 0.000 0.000 0.000
Ga -3.759 2.268 0.312
Br -0.892 1.880 1.976
CELL_PARAMETERS angstrom
-1.510 2.880 -3.422
-4.226 -2.103 0.095
-1.783 3.760 3.952
```

Summary:
Volume = 25.58 Å³/atom
Theoretical density = 6.36 g/cm³
Space-group type = P4/mmm, No. 123

---

--- b ---
VASP calculation (PBE) on a relaxed GaAs2OsBr crystal. Values from VASP.

Quantum ESPRESSO input file:
```
&SYSTEM
  ibrav = 0, nat = 5, ntyp = 4
/
ATOMIC_SPECIES
As 74.92 As.upf
Os 190.23 Os.upf
Ga 69.72 Ga.upf
Br 79.90 Br.upf
ATOMIC_POSITIONS angstrom
As 0.000 2.447 0.000
As 2.447 0.000 0.000
Os 2.447 2.447 2.440
Ga 0.000 0.000 0.000
Br 0.000 0.000 2.440
CELL_PARAMETERS angstrom
4.895 0.000 0.000
0.000 4.895 0.000
0.000 0.000 4.881
```

Summary:
Volume = 23.39 Å³/atom
Theoretical density = 6.95 g/cm³
Space-group type = P4/mmm, No. 123

---

Of them, a has the highest stability.

---

--- a ---
VASP calculation (PBE) on a relaxed GaAs2PdBr crystal. Values from VASP.

Quantum ESPRESSO input file:
```
&SYSTEM
  ibrav = 0, nat = 5, ntyp = 4
/
ATOMIC_SPECIES
As 74.92 As.upf
Ga 69.72 Ga.upf
Br 79.90 Br.upf
Pd 106.42 Pd.upf
ATOMIC_POSITIONS angstrom
As 0.000 2.451 0.000
As 2.451 0.000 0.000
Ga 0.000 0.000 0.000
Br 0.000 0.000 2.550
Pd 2.451 2.451 2.550
CELL_PARAMETERS angstrom
4.901 0.000 0.000
0.000 4.901 0.000
0.000 0.000 5.100
```

Summary:
Volume = 24.50 Å³/atom
Theoretical density = 5.50 g/cm³
Space-group type = P4/mmm, No. 123

---

--- b ---
VASP calculation (PBE) on a relaxed GaAs2PdBr crystal. Values from VASP.

Quantum ESPRESSO input file:
```
&SYSTEM
  ibrav = 0, nat = 5, ntyp = 4
/
ATOMIC_SPECIES
As 74.92 As.upf
Ga 69.72 Ga.upf
Br 79.90 Br.upf
Pd 106.42 Pd.upf
ATOMIC_POSITIONS angstrom
As 0.000 2.334 0.000
As 2.334 0.000 0.000
Ga 2.334 2.334 3.757
Br 0.000 0.000 3.757
Pd 0.000 0.000 0.000
CELL_PARAMETERS angstrom
4.667 0.000 0.000
0.000 4.667 0.000
0.000 0.000 7.514
```

Summary:
Volume = 32.74 Å³/atom
Theoretical density = 4.12 g/cm³
Space-group type = P4/mmm, No. 123

---

Of them, b has the highest stability.

---

--- a ---
VASP calculation (PBE) on a relaxed GaReAsBr2 crystal. Values from VASP.

Quantum ESPRESSO input file:
```
&SYSTEM
  ibrav = 0, nat = 5, ntyp = 4
/
ATOMIC_SPECIES
Re 186.21 Re.upf
As 74.92 As.upf
Ga 69.72 Ga.upf
Br 79.90 Br.upf
ATOMIC_POSITIONS angstrom
Re 2.518 2.518 2.636
As 0.000 0.000 2.636
Ga 0.000 0.000 0.000
Br 0.000 2.518 0.000
Br 2.518 0.000 0.000
CELL_PARAMETERS angstrom
5.037 0.000 0.000
0.000 5.037 0.000
0.000 0.000 5.272
```

Summary:
Volume = 26.75 Å³/atom
Theoretical density = 6.09 g/cm³
Space-group type = P4/mmm, No. 123

---

--- b ---
VASP calculation (PBE) on a relaxed GaReAsBr2 crystal. Values from VASP.

Quantum ESPRESSO input file:
```
&SYSTEM
  ibrav = 0, nat = 5, ntyp = 4
/
ATOMIC_SPECIES
Re 186.21 Re.upf
As 74.92 As.upf
Ga 69.72 Ga.upf
Br 79.90 Br.upf
ATOMIC_POSITIONS angstrom
Re 0.000 0.000 0.000
As 2.111 -0.732 0.803
Ga 0.958 -4.329 0.553
Br 0.070 -1.883 -1.902
Br -1.223 -1.715 1.652
CELL_PARAMETERS angstrom
-2.446 -3.429 3.305
0.141 -3.765 -3.803
4.221 -1.464 1.605
```

Summary:
Volume = 27.21 Å³/atom
Theoretical density = 5.99 g/cm³
Space-group type = P4/mmm, No. 123

---

Of them, b has the highest stability.

---

--- a ---
VASP calculation (PBE) on a relaxed GaAs2RuBr crystal. Values from VASP.

Quantum ESPRESSO input file:
```
&SYSTEM
  ibrav = 0, nat = 5, ntyp = 4
/
ATOMIC_SPECIES
Ru 101.07 Ru.upf
As 74.92 As.upf
Ga 69.72 Ga.upf
Br 79.90 Br.upf
ATOMIC_POSITIONS angstrom
Ru 0.000 0.000 0.000
As 0.397 -0.907 -2.137
As -0.395 -2.163 0.845
Ga 2.765 -3.330 -0.668
Br 2.762 -0.260 0.624
CELL_PARAMETERS angstrom
-0.789 -4.325 1.690
0.795 -1.814 -4.273
5.524 -0.520 1.248
```

Summary:
Volume = 25.23 Å³/atom
Theoretical density = 5.27 g/cm³
Space-group type = P4/mmm, No. 123

---

--- b ---
VASP calculation (PBE) on a relaxed GaAs2RuBr crystal. Values from VASP.

Quantum ESPRESSO input file:
```
&SYSTEM
  ibrav = 0, nat = 5, ntyp = 4
/
ATOMIC_SPECIES
Ru 101.07 Ru.upf
As 74.92 As.upf
Ga 69.72 Ga.upf
Br 79.90 Br.upf
ATOMIC_POSITIONS angstrom
Ru 2.437 2.437 2.532
As 0.000 2.437 0.000
As 2.437 0.000 0.000
Ga 0.000 0.000 0.000
Br 0.000 0.000 2.532
CELL_PARAMETERS angstrom
4.875 0.000 0.000
0.000 4.875 0.000
0.000 0.000 5.064
```

Summary:
Volume = 24.07 Å³/atom
Theoretical density = 5.53 g/cm³
Space-group type = P4/mmm, No. 123

---

Of them, a has the highest stability.